Here is a relaxed TiMnF5 crystal from the Alexandria database. Energies are from PBE+U.

Lattice parameters (Å, degrees): 8.8512 6.5136 7.5806 90.00 115.30 90.00
Space group C2/c (No. 15)
Asymmetric unit:
Ti: 0.0000 0.0000 0.0000 (multiplicity 4)
Mn: 0.0000 0.4670 0.2500 (multiplicity 4)
F: 0.0000 0.1161 0.2500 (multiplicity 4)
F: 0.0161 0.3050 0.9621 (multiplicity 8)
F: 0.2374 0.0277 0.6266 (multiplicity 8)

## Properties
density = 3.33 g/cm3
D(E_F) = 0.230 states/eV per atom
M_tot = 6.0 μB per formula unit
energy = -6.56 eV/atom